[1]
First-principles (GGA-PBE) data for Ho2Ge6Pt21 after structural relaxation, as listed in the Alexandria database.

```
Ho2Ge6Pt21
1.0
-7.3369 1.2473 4.7784
-5.7729 -6.6177 1.0483
-0.8595 -3.9109 7.8858
Pt Ho Ge
21 2 6
Direct
0.0000 0.6529 0.0000
0.6193 0.6193 0.6193
0.0000 0.6529 0.3471
0.3807 0.3807 0.8580
0.3471 0.0000 0.6529
0.6529 0.3471 0.0000
0.0000 0.3471 0.0000
0.1420 0.6193 0.6193
0.3807 0.8580 0.3807
0.0000 0.0000 0.3471
0.0000 0.3471 0.6529
0.8580 0.3807 0.3807
0.6193 0.1420 0.6193
0.3471 0.0000 0.0000
0.3471 0.6529 0.0000
0.6193 0.6193 0.1420
0.3807 0.3807 0.3807
0.0000 0.0000 0.6529
0.0000 0.0000 0.0000
0.6529 0.0000 0.0000
0.6529 0.0000 0.3471
0.7500 0.7500 0.7500
0.2500 0.2500 0.2500
0.2679 0.7321 0.2679
0.7321 0.2679 0.7321
0.2679 0.2679 0.7321
0.7321 0.2679 0.2679
0.2679 0.7321 0.7321
0.7321 0.7321 0.2679
```

=====

[2]
First-principles (GGA-PBE) data for Ho3Ge2Pt7 after structural relaxation, as listed in the Alexandria database.

```
Ho3Ge2Pt7
1.0
-1.7543 3.4654 0.8437
-2.2384 -1.8563 2.9701
10.9136 3.6716 7.6114
Pt Ho Ge
7 3 2
Direct
0.0000 0.0000 0.0000
0.0000 0.2195 0.4390
0.0000 0.4199 0.8398
0.0000 0.5801 0.1602
0.5000 0.0777 0.1554
0.5000 0.9223 0.8446
0.0000 0.7805 0.5610
0.5000 0.3166 0.6332
0.5000 0.6834 0.3668
0.5000 0.5000 0.0000
0.0000 0.8689 0.7378
0.0000 0.1311 0.2622
```

=====

[3]
First-principles (GGA-PBE) data for Ho2GePt6 after structural relaxation, as listed in the Alexandria database.

```
Ho2GePt6
1.0
5.6294 0.0000 0.0000
-2.8147 4.7160 1.0952
0.0000 0.0786 6.2162
Ho Pt Ge
2 6 1
Direct
0.6459 0.2919 0.1408
0.3541 0.7081 0.8592
0.8742 0.2643 0.6894
0.1251 0.2502 0.3006
0.8749 0.7498 0.6994
0.6099 0.7357 0.3106
0.1258 0.7357 0.3106
0.3901 0.2643 0.6894
0.0000 0.0000 0.0000
```

=====

[4]
First-principles (GGA-PBE) data for HoGe3Pt2 after structural relaxation, as listed in the Alexandria database.

```
HoGe3Pt2
1.0
3.9693 0.0000 -1.1664
-1.0626 6.5168 -3.6162
0.3384 0.0655 8.4888
Ge Pt Ho
6 4 2
Direct
0.3170 0.5276 0.6339
0.6830 0.4724 0.3661
0.6608 0.8613 0.3215
0.0446 0.4114 0.0892
0.3392 0.1387 0.6785
0.9554 0.5886 0.9108
0.7870 0.2690 0.5741
0.5091 0.1937 0.0182
0.4909 0.8063 0.9818
0.2130 0.7310 0.4259
0.8759 0.9027 0.7519
0.1241 0.0973 0.2481
```

=====

[5]
First-principles (GGA-PBE) data for Ho3Ge2Pt after structural relaxation, as listed in the Alexandria database.

```
Ho3Ge2Pt
1.0
4.2734 0.0000 0.0000
0.0000 11.2882 0.0000
0.0000 0.0000 11.5449
Ge Ho Pt
8 12 4
Direct
0.7500 0.0058 0.6853
0.2500 0.5058 0.8147
0.7500 0.4942 0.1853
0.2500 0.6920 0.4917
0.7500 0.3080 0.5083
0.2500 0.9942 0.3147
0.7500 0.1920 0.0083
0.2500 0.8080 0.9917
0.2500 0.4410 0.3787
0.7500 0.9410 0.1213
0.7500 0.5590 0.6213
0.7500 0.1929 0.2807
0.2500 0.0590 0.8787
0.7500 0.3071 0.7807
0.2500 0.6929 0.2193
0.7500 0.8724 0.4457
0.2500 0.3724 0.0543
0.2500 0.8071 0.7193
0.7500 0.6276 0.9457
0.2500 0.1276 0.5543
0.7500 0.8723 0.8717
0.7500 0.6277 0.3717
0.2500 0.3723 0.6283
0.2500 0.1277 0.1283
```

=====

[6]
First-principles (GGA-PBE) data for Ho8Ge5Pt after structural relaxation, as listed in the Alexandria database.

```
Ho8Ge5Pt
1.0
-4.2828 2.1227 -5.9173
-3.7046 -5.1984 4.1370
1.4758 6.1227 4.2657
Pt Ho Ge
1 8 5
Direct
0.2500 0.5000 0.7500
0.4937 0.6159 0.2463
0.9951 0.1245 0.7421
0.7537 0.2475 0.3697
0.2579 0.2530 0.3824
0.1222 0.7525 0.5063
0.6303 0.3841 0.8778
0.6176 0.8755 0.8706
0.1294 0.7470 0.0049
0.7515 0.6263 0.6269
0.8748 0.8754 0.2485
0.3731 0.1246 0.9994
0.5000 0.0000 0.5000
0.0006 0.3737 0.1252
```

=====

[7]
First-principles (GGA-PBE) data for Ho4GePt3 after structural relaxation, as listed in the Alexandria database.

```
Ho4GePt3
1.0
3.8642 0.0000 0.0000
0.0000 4.3208 0.0000
0.0000 0.0000 10.6752
Pt Ho Ge
3 4 1
Direct
0.5000 0.0000 0.9169
0.0000 0.0000 0.4095
0.0000 0.5000 0.5874
0.5000 0.0000 0.6418
0.0000 0.5000 0.8578
0.5000 0.5000 0.3641
0.0000 0.0000 0.1393
0.5000 0.5000 0.0831
```

=====

[8]
First-principles (GGA-PBE) data for HoGe12Pt4 after structural relaxation, as listed in the Alexandria database.

```
HoGe12Pt4
1.0
7.1075 0.0000 -2.5129
-3.5538 6.1553 -2.5129
0.0000 0.0000 7.5387
Ge Pt Ho
12 4 1
Direct
0.1496 0.6469 0.7965
0.8504 0.6469 0.4972
0.5028 0.1496 0.3531
0.6469 0.4972 0.8504
0.2035 0.8504 0.3531
0.1496 0.3531 0.5028
0.7965 0.1496 0.6469
0.8504 0.3531 0.2035
0.3531 0.2035 0.8504
0.4972 0.8504 0.6469
0.3531 0.5028 0.1496
0.6469 0.7965 0.1496
0.0000 0.0000 0.5000
0.5000 0.5000 0.5000
0.0000 0.5000 0.0000
0.5000 0.0000 0.0000
0.0000 0.0000 0.0000
```

=====

[9]
First-principles (GGA-PBE) data for Ho7Ge2Pt2 after structural relaxation, as listed in the Alexandria database.

```
Ho7Ge2Pt2
1.0
6.7194 -0.0017 -0.4955
0.0037 6.8779 0.0025
-0.9132 -0.0036 6.6755
Ge Ho Pt
2 7 2
Direct
0.7918 0.5000 0.7918
0.2082 0.5000 0.2082
0.5001 0.7504 0.4999
0.5001 0.7413 0.9999
0.9999 0.2587 0.5001
0.4999 0.2496 0.5001
0.0001 0.7413 0.4999
0.0000 0.0000 0.0000
0.4999 0.2587 0.0001
0.2802 0.0000 0.7198
0.7198 0.0000 0.2802
```

=====

[10]
First-principles (GGA-PBE) data for HoGePt6 after structural relaxation, as listed in the Alexandria database.

```
HoGePt6
1.0
-4.9345 0.4069 2.1143
-4.3017 0.2300 -3.2292
-3.5544 -6.4015 -0.2091
Ge Pt Ho
1 6 1
Direct
0.0000 0.0000 0.0000
0.9255 0.4353 0.7138
0.0745 0.0745 0.2862
0.5647 0.0745 0.2862
0.4353 0.9255 0.7138
0.0745 0.5647 0.2862
0.9255 0.9255 0.7138
0.5000 0.5000 0.5000
```

=====

[11]
First-principles (GGA-PBE) data for Ho3GePt12 after structural relaxation, as listed in the Alexandria database.

```
Ho3GePt12
1.0
4.0922 0.0000 0.0000
0.0000 4.0922 0.0000
0.0000 0.0000 16.1863
Pt Ho Ge
12 3 1
Direct
0.5000 0.0000 0.8837
0.5000 0.5000 0.2434
0.5000 0.0000 0.1163
0.0000 0.5000 0.1163
0.5000 0.5000 0.0000
0.5000 0.0000 0.6276
0.0000 0.5000 0.6276
0.5000 0.5000 0.5000
0.0000 0.5000 0.3724
0.5000 0.0000 0.3724
0.5000 0.5000 0.7566
0.0000 0.5000 0.8837
0.0000 0.0000 0.5000
0.0000 0.0000 0.2469
0.0000 0.0000 0.7531
0.0000 0.0000 0.0000
```

=====

[12]
First-principles (GGA-PBE) data for HoGePt4 after structural relaxation, as listed in the Alexandria database.

```
HoGePt4
1.0
-3.2237 2.2524 -0.7724
-3.6100 -3.5304 4.7719
2.1886 4.9583 5.3240
Pt Ho Ge
8 2 2
Direct
0.5000 0.6926 0.4527
0.5000 0.3074 0.9527
0.0000 0.0000 0.5000
0.5000 0.0565 0.2500
0.5000 0.6926 0.0473
0.0000 0.0000 0.0000
0.5000 0.3074 0.5473
0.5000 0.9435 0.7500
0.0000 0.3590 0.2500
0.0000 0.6410 0.7500
0.0000 0.7712 0.2500
0.0000 0.2288 0.7500
```

=====

[13]
First-principles (GGA-PBE) data for HoGe6Pt12 after structural relaxation, as listed in the Alexandria database.

```
HoGe6Pt12
1.0
-3.0385 -6.1046 -2.6824
5.7635 1.4834 -4.2750
2.7111 -1.7648 6.5749
Pt Ge Ho
12 6 1
Direct
0.1293 0.8707 0.5000
0.8631 0.6273 0.6273
0.5000 0.8707 0.1293
0.6273 0.8631 0.6273
0.3727 0.1369 0.3727
0.8707 0.1293 0.5000
0.5000 0.1293 0.8707
0.3727 0.3727 0.1369
0.1369 0.3727 0.3727
0.1293 0.5000 0.8707
0.8707 0.5000 0.1293
0.6273 0.6273 0.8631
0.7371 0.3214 0.7371
0.7371 0.7371 0.3214
0.3214 0.7371 0.7371
0.2629 0.6786 0.2629
0.2629 0.2629 0.6786
0.6786 0.2629 0.2629
0.0000 0.0000 0.0000
```

=====

[14]
First-principles (GGA-PBE) data for HoGePt6 after structural relaxation, as listed in the Alexandria database.

```
HoGePt6
1.0
-3.3147 -2.2878 -0.4350
2.2726 -3.3431 0.2644
-1.0102 -0.0551 7.9871
Pt Ge Ho
6 1 1
Direct
0.0000 0.5000 0.7392
0.5000 0.5000 0.5000
0.5000 0.0000 0.7392
0.5000 0.0000 0.2608
0.0000 0.5000 0.2608
0.5000 0.5000 0.0000
0.0000 0.0000 0.5000
0.0000 0.0000 0.0000
```

=====

[15]
First-principles (GGA-PBE) data for Ho5Ge5Pt2 after structural relaxation, as listed in the Alexandria database.

```
Ho5Ge5Pt2
1.0
4.1536 0.0000 0.9371
2.0789 7.5538 0.4594
0.2804 -0.4793 8.4312
Ho Ge Pt
5 5 2
Direct
0.3059 0.3075 0.0806
0.3729 0.9307 0.3236
0.6941 0.6925 0.9194
0.6271 0.0693 0.6764
0.0000 0.5000 0.5000
0.9471 0.2971 0.8087
0.2729 0.7904 0.6638
0.7271 0.2096 0.3362
0.0000 0.0000 0.0000
0.0529 0.7029 0.1913
0.3880 0.4715 0.7525
0.6120 0.5285 0.2475
```

=====

[16]
First-principles (GGA-PBE) data for Ho3Ge2Pt7 after structural relaxation, as listed in the Alexandria database.

```
Ho3Ge2Pt7
1.0
4.0005 0.0000 0.0000
0.0000 4.0692 -0.6043
0.0000 0.1030 14.6962
Ho Pt Ge
3 7 2
Direct
0.5000 0.2962 0.5924
0.5000 0.5000 0.0000
0.5000 0.7038 0.4076
0.0000 0.3669 0.7337
0.5000 0.1343 0.2685
0.5000 0.8657 0.7315
0.0000 0.0000 0.0000
0.0000 0.6331 0.2663
0.0000 0.2128 0.4255
0.0000 0.7872 0.5745
0.0000 0.9165 0.8330
0.0000 0.0835 0.1670
```

=====

[17]
First-principles (GGA-PBE) data for Ho3Ge4Pt7 after structural relaxation, as listed in the Alexandria database.

```
Ho3Ge4Pt7
1.0
-1.7899 -3.6373 0.4986
3.7903 -3.2856 6.3673
-4.7365 0.9897 6.9456
Pt Ge Ho
7 4 3
Direct
0.8334 0.4091 0.9241
0.5104 0.7530 0.2263
0.6935 0.1495 0.4635
0.1666 0.5909 0.0759
0.4896 0.2470 0.7737
0.0000 0.0000 0.0000
0.3065 0.8505 0.5365
0.3314 0.5692 0.7680
0.6686 0.4308 0.2320
0.8890 0.8964 0.3255
0.1110 0.1036 0.6745
0.0000 0.5000 0.5000
0.6707 0.8245 0.8341
0.3293 0.1755 0.1659
```

=====

[18]
First-principles (GGA-PBE) data for HoGePt4 after structural relaxation, as listed in the Alexandria database.

```
HoGePt4
1.0
5.3656 0.0000 0.0000
2.6828 4.6467 0.0000
2.6828 1.5489 4.3810
Ge Pt Ho
1 4 1
Direct
0.0000 0.0000 0.0000
0.6252 0.6252 0.1245
0.6252 0.6252 0.6252
0.6252 0.1245 0.6252
0.1245 0.6252 0.6252
0.2500 0.2500 0.2500
```

=====

[19]
First-principles (GGA-PBE) data for Ho3Ge2Pt4 after structural relaxation, as listed in the Alexandria database.

```
Ho3Ge2Pt4
1.0
-0.6109 -3.7638 -2.1291
3.5907 -0.6883 -4.2923
6.0239 -5.0615 2.7403
Ge Pt Ho
2 4 3
Direct
0.6561 0.0107 0.6771
0.3439 0.9893 0.3229
0.9126 0.7653 0.4095
0.2813 0.3638 0.0736
0.0874 0.2347 0.5905
0.7187 0.6362 0.9264
0.0000 0.0000 0.0000
0.6412 0.4081 0.3095
0.3588 0.5919 0.6905
```

=====

These records have calculated formation energy values of -430.4, -1036.0, -981.0, -707.2, -977.2, -863.7, -1181.2, -345.3, -603.7, -426.7, -849.9, -768.8, -404.9, -644.9, -918.9, -895.2, -949.9, -644.2, -1124.8 meV/atom, in the order they appear.